[1]
## TbPrMg (PBE)

Data for crystalline TbPrMg at its relaxed geometry.

Output
The energy above the most stable polymorph in this dataset comes out at 0.000 eV/atom. Its space group is Cmcm, No. 63.

Geometry as POSCAR:
```
TbPrMg
1.0
5.3082 0.0000 0.0000
0.0000 13.0138 0.0000
0.0000 0.0000 5.3240
Tb Pr Mg
4 4 4
direct
0.0000 0.0932 0.2500
0.0000 0.9068 0.7500
0.5000 0.4068 0.7500
0.5000 0.5932 0.2500
0.0000 0.4086 0.2500
0.0000 0.5914 0.7500
0.5000 0.0914 0.7500
0.5000 0.9086 0.2500
0.0000 0.2506 0.7500
0.0000 0.7494 0.2500
0.5000 0.2494 0.2500
0.5000 0.7506 0.7500
```

[2]
## NdHgTe (PBE)

Data for crystalline NdHgTe at its relaxed geometry.

Output
The energy relative to the elements, uncorrected comes out at -0.7475 eV per atom. The energy above the most stable polymorph in this dataset comes out at 0.190 eV/atom. Its space group is Pmmm, No. 47.

Geometry as POSCAR:
```
NdHgTe
1.0
4.1305 0.0000 0.0000
0.0000 4.7937 0.0000
0.0000 0.0000 5.2689
Nd Hg Te
1 1 1
direct
0.0000 0.0000 0.0000
0.5000 0.0000 0.5000
0.5000 0.5000 0.0000
```

[3]
## RbNbCr3 (PBE)

Data for crystalline RbNbCr3 at its relaxed geometry.

Output
The energy above the most stable polymorph in this dataset comes out at 1.245 eV/atom. Its space group is Pm-3m, No. 221.

Geometry as POSCAR:
```
RbNbCr3
1.0
4.7181 0.0000 0.0000
0.0000 4.7181 0.0000
0.0000 0.0000 4.7181
Rb Nb Cr
1 1 3
direct
0.0000 0.0000 0.0000
0.5000 0.5000 0.5000
0.0000 0.0000 0.5000
0.0000 0.5000 0.0000
0.5000 0.0000 0.0000
```

[4]
## TaAg2As (PBE)

Data for crystalline TaAg2As at its relaxed geometry.

Output
Its space group is R-3m, No. 166. The final energy comes out at -5.27 eV per atom.

Geometry as POSCAR:
```
TaAg2As
1.0
2.9472 0.0000 0.0000
-1.4736 2.5524 0.0000
0.0000 0.0000 29.0068
Ta Ag As
3 6 3
direct
0.0000 0.0000 0.0000
0.3333 0.6667 0.6667
0.6667 0.3333 0.3333
0.0000 0.0000 0.2491
0.0000 0.0000 0.7509
0.3333 0.6667 0.4176
0.3333 0.6667 0.9157
0.6667 0.3333 0.0843
0.6667 0.3333 0.5824
0.0000 0.0000 0.5000
0.3333 0.6667 0.1667
0.6667 0.3333 0.8333
```

[5]
## KMg2GaAu (PBE)

Data for crystalline KMg2GaAu at its relaxed geometry.

Output
Its space group is P4/mmm, No. 123. The final energy comes out at -2.24 eV per atom.

Geometry as POSCAR:
```
KMg2GaAu
1.0
5.2399 0.0000 0.0000
0.0000 5.2399 0.0000
0.0000 0.0000 5.1778
K Mg Ga Au
1 2 1 1
direct
0.0000 0.0000 0.0000
0.0000 0.5000 0.5000
0.5000 0.0000 0.5000
0.5000 0.5000 0.0000
0.5000 0.5000 0.5000
```

[6]
## LiAcTbNi (PBE)

Data for crystalline LiAcTbNi at its relaxed geometry.

Output
Its space group is F-43m, No. 216. The final energy comes out at -4.13 eV per atom.

Geometry as POSCAR:
```
LiAcTbNi
1.0
7.3166 0.0000 0.0000
0.0000 7.3166 0.0000
0.0000 0.0000 7.3166
Li Ac Tb Ni
4 4 4 4
direct
0.0000 0.0000 0.0000
0.0000 0.5000 0.5000
0.5000 0.0000 0.5000
0.5000 0.5000 0.0000
0.2500 0.2500 0.7500
0.2500 0.7500 0.2500
0.7500 0.2500 0.2500
0.7500 0.7500 0.7500
0.2500 0.2500 0.2500
0.2500 0.7500 0.7500
0.7500 0.2500 0.7500
0.7500 0.7500 0.2500
0.0000 0.0000 0.5000
0.0000 0.5000 0.0000
0.5000 0.0000 0.0000
0.5000 0.5000 0.5000
```

[7]
## HgGe2IrW (PBE)

Data for crystalline HgGe2IrW at its relaxed geometry.

Output
Its space group is P4/mmm, No. 123. The final energy comes out at -5.03 eV per atom.

Geometry as POSCAR:
```
HgGe2IrW
1.0
4.7024 0.0000 0.0000
0.0000 4.7024 0.0000
0.0000 0.0000 5.2668
Hg Ge Ir W
1 2 1 1
direct
0.0000 0.0000 0.0000
0.0000 0.5000 0.5000
0.5000 0.0000 0.5000
0.0000 0.0000 0.5000
0.5000 0.5000 0.0000
```

[8]
## Li3Cu2Ni2 (PBE)

Data for crystalline Li3Cu2Ni2 at its relaxed geometry.

Output
Its space group is P2/m, No. 10. The final energy comes out at -3.55 eV per atom.

Geometry as POSCAR:
```
Li3Cu2Ni2
1.0
2.5408 0.0000 0.0000
0.0000 2.4788 0.0000
-1.2671 0.0000 14.4135
Li Cu Ni
3 2 2
direct
0.0000 0.0000 0.0000
0.2929 0.0000 0.5906
0.7071 0.0000 0.4094
0.1410 0.5000 0.2723
0.8590 0.5000 0.7277
0.4208 0.0000 0.8505
0.5792 0.0000 0.1495
```

[9]
## AlInMoAs2 (PBE)

Data for crystalline AlInMoAs2 at its relaxed geometry.

Output
Its space group is P4/mmm, No. 123. The final energy comes out at -4.89 eV per atom.

Geometry as POSCAR:
```
AlInMoAs2
1.0
4.8570 0.0000 0.0000
0.0000 4.8570 0.0000
0.0000 0.0000 5.3912
Al In Mo As
1 1 1 2
direct
0.0000 0.0000 0.0000
0.5000 0.5000 0.0000
0.5000 0.5000 0.5000
0.0000 0.5000 0.5000
0.5000 0.0000 0.5000
```

[10]
## HfZr3As (PBE)

Data for crystalline HfZr3As at its relaxed geometry.

Output
The energy above the most stable polymorph in this dataset comes out at 0.000 eV/atom. Its space group is Pm-3m, No. 221.

Geometry as POSCAR:
```
HfZr3As
1.0
5.0085 0.0000 0.0000
0.0000 5.0085 0.0000
0.0000 0.0000 5.0085
Hf Zr As
1 3 1
direct
0.0000 0.0000 0.0000
0.0000 0.5000 0.5000
0.5000 0.0000 0.5000
0.5000 0.5000 0.0000
0.5000 0.5000 0.5000
```

[11]
## BaHfMn2 (PBE)

Data for crystalline BaHfMn2 at its relaxed geometry.

Output
The energy above the most stable polymorph in this dataset comes out at 0.403 eV/atom. Its space group is I4_1/amd, No. 141.

Geometry as POSCAR:
```
BaHfMn2
1.0
4.8048 0.0000 0.0000
0.0000 4.8048 0.0000
0.0000 0.0000 17.4924
Ba Hf Mn
4 4 8
direct
0.0000 0.2500 0.3750
0.0000 0.7500 0.6250
0.5000 0.2500 0.1250
0.5000 0.7500 0.8750
0.0000 0.2500 0.8750
0.0000 0.7500 0.1250
0.5000 0.2500 0.6250
0.5000 0.7500 0.3750
0.0000 0.0000 0.0000
0.0000 0.5000 0.0000
0.2500 0.2500 0.7500
0.2500 0.7500 0.2500
0.5000 0.0000 0.5000
0.5000 0.5000 0.5000
0.7500 0.2500 0.7500
0.7500 0.7500 0.2500
```

[12]
## Tb4DyEr10 (PBE)

Data for crystalline Tb4DyEr10 at its relaxed geometry.

Output
Its space group is I4/m, No. 87. The final energy comes out at -3.84 eV per atom.

Geometry as POSCAR:
```
Tb4DyEr10
1.0
-6.0249 6.0249 3.8037
6.0249 -6.0249 3.8037
6.0249 6.0249 -3.8037
Tb Dy Er
4 1 10
direct
0.1005 0.7005 0.8010
0.2995 0.1005 0.3999
0.7005 0.8995 0.6001
0.8995 0.2995 0.1990
0.5000 0.5000 0.0000
0.0503 0.3498 0.8993
0.1510 0.0503 0.7005
0.2500 0.7500 0.5000
0.3498 0.4505 0.2995
0.4505 0.1510 0.1007
0.5495 0.8490 0.8993
0.6502 0.5495 0.7005
0.7500 0.2500 0.5000
0.8490 0.9497 0.2995
0.9497 0.6502 0.1007
```